#one
Computed, not measured: Ag2I2Cl after structural relaxation at the PBE-GGA level of DFT.

abc: 8.4609 8.4609 3.8925
angles: 90.00 90.00 90.00
Element x y z (fractional)
1 Ag 0.1296 0.3704 0.0000
2 Ag 0.3704 0.8704 0.0000
3 Ag 0.6296 0.1296 0.0000
4 Ag 0.8704 0.6296 0.0000
5 I 0.1653 0.6653 0.5000
6 I 0.3347 0.1653 0.5000
7 I 0.6653 0.8347 0.5000
8 I 0.8347 0.3347 0.5000
9 Cl 0.0000 0.0000 0.5000
10 Cl 0.5000 0.5000 0.5000

Output
magnetization: 0.00 μB/cell
DOS at the Fermi energy: 7.18 states/eV per cell
V: 278.65 Å³/cell



#two
Computed, not measured: Ag2I2Cl after structural relaxation at the PBE-GGA level of DFT.

abc: 8.2672 8.2672 8.2672
angles: 149.26 149.26 44.03
Element x y z (fractional)
1 Ag 0.2500 0.7500 0.5000
2 Ag 0.7500 0.2500 0.5000
3 I 0.1281 0.1281 0.0000
4 I 0.8719 0.8719 0.0000
5 Cl 0.5000 0.5000 0.0000

Output
magnetization: 0.00 μB/cell
DOS at the Fermi energy: 8.20 states/eV per cell
V: 147.22 Å³/cell



Of the structures shown above, #one is the least stable.